{
  "formula": "GaH2N",
  "functional": "PBE",
  "state": "relaxed",
  "n_ef_per_ev_cell": 0.00,
  "crystal_system": "triclinic",
  "polymorph_energy_mev_per_atom": 203,
  "dft_energy_ha_per_atom": -0.1690,
  "lattice": [[3.207, 0.000, 0.000], [1.603, 2.778, 0.000], [1.450, -0.589, 6.848]],
  "species": ["Ga", "H", "H", "N"],
  "frac_coords": [[0.000, 0.000, 0.000], [0.094, 0.282, 0.538], [0.242, 0.081, 0.457], [0.667, 0.667, 0.000]]
}


{
  "formula": "GaH2N",
  "functional": "PBE",
  "state": "relaxed",
  "n_ef_per_ev_cell": 0.00,
  "crystal_system": "trigonal",
  "polymorph_energy_mev_per_atom": 0,
  "dft_energy_ha_per_atom": -0.1765,
  "lattice": [[3.224, 0.000, 0.000], [-1.612, 2.792, 0.000], [0.000, 0.000, 4.872]],
  "species": ["Ga", "H", "H", "N"],
  "frac_coords": [[0.000, 0.000, 0.000], [0.000, 0.000, 0.677], [0.667, 0.333, 0.346], [0.667, 0.333, 0.135]]
}


{
  "formula": "Ga2H6N",
  "functional": "PBE",
  "state": "relaxed",
  "n_ef_per_ev_cell": 0.92,
  "crystal_system": "triclinic",
  "polymorph_energy_mev_per_atom": 0,
  "dft_energy_ha_per_atom": -0.1436,
  "lattice": [[3.600, 0.000, 0.000], [0.002, 3.728, 0.000], [1.785, 1.820, 6.654]],
  "species": ["Ga", "Ga", "H", "H", "H", "H", "H", "H", "N"],
  "frac_coords": [[0.000, 0.000, 0.000], [0.449, 0.450, 0.102], [0.127, 0.124, 0.748], [0.322, 0.326, 0.354], [0.520, 0.521, 0.644], [0.612, 0.929, 0.458], [0.851, 0.845, 0.641], [0.941, 0.606, 0.460], [0.731, 0.725, 0.551]]
}


{
  "formula": "GaH2N",
  "functional": "PBE",
  "state": "relaxed",
  "n_ef_per_ev_cell": 0.00,
  "crystal_system": "monoclinic",
  "polymorph_energy_mev_per_atom": 2,
  "dft_energy_ha_per_atom": -0.1765,
  "lattice": [[2.790, -1.611, 0.000], [2.790, 1.611, 0.000], [-1.765, 0.000, 4.935]],
  "species": ["Ga", "H", "H", "N"],
  "frac_coords": [[0.000, 0.000, 0.000], [0.441, 0.441, 0.342], [0.899, 0.899, 0.681], [0.376, 0.376, 0.134]]
}